(1)
PuMgHgAu | PBE | optimized geometry

Summary:
Excess energy over the best structure of this formula in the dataset ... 0.0 meV/atom
Total magnetic moment ... 5.7 μB/cell
Total DFT energy (no corrections) ... -5.24 eV/atom
Energy of formation ... -0.359 eV per atom
DOS(E_F) ... 1.874 states/eV/atom

Unit cell a=3.342 b=3.342 c=7.864 alpha=90.00 beta=90.00 gamma=90.00
Site moments in Bohr magnetons follow the coordinates.
Fractional coordinates of all 4 atoms:
Pu 0.500 0.500 0.806  5.46
Mg 0.500 0.500 0.341  -0.01
Hg 0.000 0.000 0.099  -0.01
Au 0.000 0.000 0.539  0.01


(2)
Mg5Sn2Hg2Au | PBE | optimized geometry

Summary:
Total magnetic moment ... 0.0 μB/cell
Total DFT energy (no corrections) ... -2.20 eV/atom
Energy of formation ... -0.210 eV per atom
DOS(E_F) ... 0.218 states/eV/atom

Unit cell a=3.551 b=11.337 c=11.337 alpha=90.00 beta=90.00 gamma=90.00
Fractional coordinates of all 20 atoms:
Mg 0.500 0.194 0.020
Mg 0.500 0.806 0.980
Mg 0.500 0.020 0.806
Mg 0.500 0.694 0.480
Mg 0.500 0.980 0.194
Mg 0.500 0.306 0.520
Mg 0.500 0.520 0.694
Mg 0.500 0.480 0.306
Mg 0.500 0.500 0.000
Mg 0.500 0.000 0.500
Sn 0.000 0.673 0.173
Sn 0.000 0.327 0.827
Sn 0.000 0.173 0.327
Sn 0.000 0.827 0.673
Hg 0.000 0.141 0.641
Hg 0.000 0.859 0.359
Hg 0.000 0.641 0.859
Hg 0.000 0.359 0.141
Au 0.000 0.000 0.000
Au 0.000 0.500 0.500


(3)
Sr3Mg2Hg4Au2 | PBE | optimized geometry

Summary:
Total magnetic moment ... 0.0 μB/cell
Total DFT energy (no corrections) ... -1.90 eV/atom
Energy of formation ... -0.446 eV per atom
DOS(E_F) ... 0.529 states/eV/atom

Unit cell a=4.941 b=4.941 c=14.944 alpha=90.00 beta=90.00 gamma=120.00
Fractional coordinates of all 11 atoms:
Sr 0.000 0.000 0.739
Sr 0.000 0.000 0.000
Sr 0.000 0.000 0.261
Mg 0.667 0.333 0.430
Mg 0.333 0.667 0.570
Hg 0.667 0.333 0.132
Hg 0.333 0.667 0.868
Hg 0.667 0.333 0.619
Hg 0.333 0.667 0.381
Au 0.667 0.333 0.865
Au 0.333 0.667 0.135


(4)
SrMgHg2Au4 | PBE | optimized geometry

Summary:
Total magnetic moment ... 0.0 μB/cell
Total DFT energy (no corrections) ... -2.49 eV/atom
Energy of formation ... -0.371 eV per atom
DOS(E_F) ... 0.331 states/eV/atom

Unit cell a=4.847 b=4.847 c=9.147 alpha=74.64 beta=74.64 gamma=60.00
Fractional coordinates of all 8 atoms:
Sr 0.000 0.000 0.000
Mg 0.500 0.500 0.500
Hg 0.749 0.749 0.754
Hg 0.251 0.251 0.246
Au 0.395 0.395 0.815
Au 0.864 0.864 0.408
Au 0.136 0.136 0.592
Au 0.605 0.605 0.185


(5)
TbMgHgAu | PBE | optimized geometry

Summary:
Total magnetic moment ... 0.0 μB/cell
Total DFT energy (no corrections) ... -3.07 eV/atom
Energy of formation ... -0.622 eV per atom
DOS(E_F) ... 0.454 states/eV/atom

Unit cell a=4.996 b=4.996 c=4.996 alpha=60.00 beta=60.00 gamma=60.00
Fractional coordinates of all 4 atoms:
Tb 0.750 0.750 0.750
Mg 0.250 0.250 0.250
Au 0.000 0.000 0.000
Hg 0.500 0.500 0.500


(6)
MgTiHgAu | PBE | optimized geometry

Summary:
Total magnetic moment ... 0.0 μB/cell
Total DFT energy (no corrections) ... -3.54 eV/atom
Energy of formation ... -0.275 eV per atom
DOS(E_F) ... 0.631 states/eV/atom

Unit cell a=4.711 b=4.711 c=4.711 alpha=60.00 beta=60.00 gamma=60.00
Fractional coordinates of all 4 atoms:
Mg 0.000 0.000 0.000
Au 0.250 0.250 0.250
Hg 0.750 0.750 0.750
Ti 0.500 0.500 0.500


(7)
MgTl2HgAu | PBE | optimized geometry

Summary:
Total magnetic moment ... 0.0 μB/cell
Total DFT energy (no corrections) ... -1.62 eV/atom
Energy of formation ... 0.361 eV per atom
DOS(E_F) ... 0.393 states/eV/atom

Unit cell a=5.653 b=5.291 c=5.653 alpha=90.00 beta=90.00 gamma=90.00
Fractional coordinates of all 5 atoms:
Mg 0.000 0.500 0.000
Tl 0.000 0.000 0.500
Tl 0.500 0.000 0.000
Au 0.500 0.500 0.500
Hg 0.000 0.000 0.000


(8)
MgTlHgAu | PBE | optimized geometry

Summary:
Total magnetic moment ... 0.0 μB/cell
Total DFT energy (no corrections) ... -1.98 eV/atom
Energy of formation ... -0.094 eV per atom
DOS(E_F) ... 0.462 states/eV/atom

Unit cell a=5.048 b=5.048 c=5.048 alpha=60.00 beta=60.00 gamma=60.00
Fractional coordinates of all 4 atoms:
Mg 0.500 0.500 0.500
Tl 0.000 0.000 0.000
Au 0.750 0.750 0.750
Hg 0.250 0.250 0.250


(9)
TmMgHgAu | PBE | optimized geometry

Summary:
Total magnetic moment ... 0.0 μB/cell
Total DFT energy (no corrections) ... -3.02 eV/atom
Energy of formation ... -0.613 eV per atom
DOS(E_F) ... 0.337 states/eV/atom

Unit cell a=4.940 b=4.940 c=4.940 alpha=60.00 beta=60.00 gamma=60.00
Fractional coordinates of all 4 atoms:
Mg 0.250 0.250 0.250
Tm 0.750 0.750 0.750
Au 0.500 0.500 0.500
Hg 0.000 0.000 0.000


(10)
Mg2ZnHgAu | PBE | optimized geometry

Summary:
Total magnetic moment ... 0.0 μB/cell
Total DFT energy (no corrections) ... -1.86 eV/atom
Energy of formation ... -0.251 eV per atom
DOS(E_F) ... 0.350 states/eV/atom

Unit cell a=4.717 b=5.508 c=8.790 alpha=117.01 beta=90.00 gamma=90.00
Fractional coordinates of all 10 atoms:
Mg 0.750 0.738 0.605
Mg 0.750 0.549 0.903
Mg 0.250 0.262 0.395
Mg 0.250 0.451 0.097
Zn 0.250 0.254 0.733
Zn 0.750 0.746 0.267
Hg 0.250 0.852 0.860
Hg 0.750 0.148 0.140
Au 0.250 0.787 0.439
Au 0.750 0.213 0.561


(11)
MnHg4Au | PBE | optimized geometry

Summary:
Total magnetic moment ... 4.6 μB/cell
Total DFT energy (no corrections) ... -1.77 eV/atom
Energy of formation ... 0.505 eV per atom
DOS(E_F) ... 0.597 states/eV/atom

Unit cell a=5.802 b=5.802 c=5.802 alpha=60.00 beta=60.00 gamma=60.00
Site moments in Bohr magnetons follow the coordinates.
Fractional coordinates of all 6 atoms:
Mn 0.750 0.750 0.750  4.24
Hg 0.875 0.375 0.375  0.00
Hg 0.375 0.375 0.875  0.00
Hg 0.375 0.875 0.375  0.00
Hg 0.375 0.375 0.375  0.00
Au 0.000 0.000 0.000  0.03


(12)
MnHg2Au | PBE | optimized geometry

Summary:
Excess energy over the best structure of this formula in the dataset ... 54.1 meV/atom
Total magnetic moment ... 4.0 μB/cell
Total DFT energy (no corrections) ... -3.09 eV/atom
Energy of formation ... 0.174 eV per atom
DOS(E_F) ... 0.564 states/eV/atom

Unit cell a=6.397 b=6.397 c=6.397 alpha=152.59 beta=136.09 gamma=52.55
Site moments in Bohr magnetons follow the coordinates.
Fractional coordinates of all 4 atoms:
Au 0.702 0.202 0.500  0.04
Hg 0.998 0.998 0.000  -0.02
Hg 0.292 0.792 0.500  0.00
Mn 0.507 0.507 0.000  3.82